1.
# TbMgPd

Crystalline TbMgPd at its relaxed geometry (PBE, Alexandria).

Volume   197.40 Å³ per cell
Formation energy   -0.69 eV per atom
Total energy   -4.49 eV/atom

a = 7.5026 Å, b = 7.5026 Å, c = 4.0494 Å
α = 90.00°, β = 90.00°, γ = 120.00°
Space group P-62m (No. 189)
Symmetry-distinct sites (fractional):
Tb: 0.0000 0.4126 0.0000 (multiplicity 3)
Mg: 0.0000 0.7558 0.5000 (multiplicity 3)
Pd: 0.0000 0.0000 0.0000 (multiplicity 1)
Pd: 0.3333 0.6667 0.5000 (multiplicity 2)

2.
# NbZnIn2

Crystalline NbZnIn2 at its relaxed geometry (PBE, Alexandria).

Volume   260.24 Å³ per cell
Formation energy   0.46 eV per atom
Total energy   -3.74 eV/atom

a = 3.1110 Å, b = 3.1110 Å, c = 31.0486 Å
α = 90.00°, β = 90.00°, γ = 120.00°
Space group R-3m (No. 166, hexagonal axes)
Symmetry-distinct sites (fractional):
Nb: 0.0000 0.0000 0.0000 (multiplicity 3)
Zn: 0.0000 0.0000 0.5000 (multiplicity 3)
In: 0.0000 0.0000 0.0923 (multiplicity 6)

3.
# Nd8Y5Tm

Crystalline Nd8Y5Tm at its relaxed geometry (PBE, Alexandria).

Volume   981.33 Å³ per cell
Formation energy   0.26 eV per atom
Total energy   -5.09 eV/atom

a = 9.7703 Å, b = 9.7703 Å, c = 10.2801 Å
α = 90.00°, β = 90.00°, γ = 90.00°
Space group I-4 (No. 82)
Symmetry-distinct sites (fractional):
Nd: 0.0670 0.1704 0.3427 (multiplicity 8)
Nd: 0.0916 0.3206 0.0026 (multiplicity 8)
Y: 0.0000 0.5000 0.2500 (multiplicity 2)
Y: 0.1090 0.2965 0.6746 (multiplicity 8)
Tm: 0.0000 0.0000 0.0000 (multiplicity 2)